# P2S | Alexandria via LeMat-Bulk | GGA-PBE | optimized geometry
# V in Å³/f.u.: 84.7
# Magnetic moment in μB per cell: 0.00
# Fermi-level density of states in states/eV per cell: 0.0
# E in eV/atom: -4.9572
# Formation energy from raw total energies in meV per atom: 25.2
data_P2S
_cell_length_a 5.535
_cell_length_b 5.672
_cell_length_c 5.967
_cell_angle_alpha 101.10
_cell_angle_beta 108.36
_cell_angle_gamma 99.34
_symmetry_space_group_name_H-M 'P 1'
_symmetry_Int_Tables_number 1
_symmetry_space_group_name_Hall 'P 1'
loop_
_atom_site_label
_atom_site_type_symbol
_atom_site_fract_x
_atom_site_fract_y
_atom_site_fract_z
_atom_site_occupancy
P1 P 0.967 0.967 0.491 1
P2 P 0.128 0.121 0.894 1
P3 P 0.947 0.353 0.652 1
S1 S 0.578 0.805 0.473 1
S2 S 0.535 0.256 0.945 1
P4 P 0.525 0.176 0.578 1

# Th6Si2Bi3Te | Alexandria via LeMat-Bulk | GGA-PBE | optimized geometry
# V in Å³/f.u.: 378.3
# Magnetic moment in μB per cell: 0.00
# Fermi-level density of states in states/eV per cell: 6.4
# E in eV/atom: -6.5822
# Formation energy from raw total energies in meV per atom: -736.4
data_Th6Si2Bi3Te
_cell_length_a 4.418
_cell_length_b 9.027
_cell_length_c 10.045
_cell_angle_alpha 104.18
_cell_angle_beta 102.70
_cell_angle_gamma 90.00
_symmetry_space_group_name_H-M 'P 1'
_symmetry_Int_Tables_number 1
_symmetry_space_group_name_Hall 'P 1'
loop_
_atom_site_label
_atom_site_type_symbol
_atom_site_fract_x
_atom_site_fract_y
_atom_site_fract_z
_atom_site_occupancy
Th1 Th 0.329 0.883 0.658 1
Th2 Th 0.675 0.565 0.351 1
Th3 Th 0.325 0.435 0.649 1
Si1 Si 0.831 0.665 0.663 1
Th4 Th 0.015 0.255 0.030 1
Si2 Si 0.169 0.335 0.337 1
Te1 Te 0.500 0.000 0.000 1
Bi1 Bi 0.500 0.500 0.000 1
Th5 Th 0.985 0.745 0.970 1
Bi2 Bi 0.840 0.166 0.681 1
Bi3 Bi 0.160 0.834 0.319 1
Th6 Th 0.671 0.117 0.342 1

# Tc2SbPt | Alexandria via LeMat-Bulk | GGA-PBE | optimized geometry
# V in Å³/f.u.: 66.4
# Magnetic moment in μB per cell: 0.00
# Fermi-level density of states in states/eV per cell: 3.2
# E in eV/atom: -7.6055
# Formation energy from raw total energies in meV per atom: 118.3
data_Tc2SbPt
_cell_length_a 3.873
_cell_length_b 2.993
_cell_length_c 6.312
_cell_angle_alpha 65.08
_cell_angle_beta 90.00
_cell_angle_gamma 90.00
_symmetry_space_group_name_H-M 'P 1'
_symmetry_Int_Tables_number 1
_symmetry_space_group_name_Hall 'P 1'
loop_
_atom_site_label
_atom_site_type_symbol
_atom_site_fract_x
_atom_site_fract_y
_atom_site_fract_z
_atom_site_occupancy
Pt1 Pt 0.000 0.527 0.495 1
Sb1 Sb 0.500 0.750 0.747 1
Tc1 Tc 0.000 0.971 0.029 1
Tc2 Tc 0.500 0.252 0.229 1

# K2Cd3Te4 | Alexandria via LeMat-Bulk | GGA-PBE | optimized geometry
# V in Å³/f.u.: 329.4
# Magnetic moment in μB per cell: 0.00
# E in eV/atom: -2.6300
# Formation energy from raw total energies in meV per atom: -684.7
data_K2Cd3Te4
_cell_length_a 7.440
_cell_length_b 11.576
_cell_length_c 15.297
_cell_angle_alpha 90.00
_cell_angle_beta 90.00
_cell_angle_gamma 90.00
_symmetry_space_group_name_H-M 'P 1'
_symmetry_Int_Tables_number 1
_symmetry_space_group_name_Hall 'P 1'
loop_
_atom_site_label
_atom_site_type_symbol
_atom_site_fract_x
_atom_site_fract_y
_atom_site_fract_z
_atom_site_occupancy
K1 K 0.000 0.000 0.000 1
Te1 Te 0.114 0.033 0.367 1
Te2 Te 0.076 0.250 0.135 1
Te3 Te 0.114 0.467 0.367 1
Cd1 Cd 0.841 0.402 0.244 1
Te4 Te 0.632 0.250 0.356 1
K2 K 0.479 0.750 0.965 1
Te5 Te 0.614 0.967 0.133 1
Te6 Te 0.868 0.250 0.856 1
K3 K 0.979 0.250 0.535 1
K4 K 0.500 0.500 0.500 1
Cd2 Cd 0.229 0.250 0.798 1
Cd3 Cd 0.159 0.598 0.756 1
Te7 Te 0.576 0.750 0.365 1
Te8 Te 0.132 0.750 0.144 1
Te9 Te 0.424 0.250 0.635 1
Cd4 Cd 0.771 0.750 0.202 1
Te10 Te 0.386 0.033 0.867 1
Te11 Te 0.886 0.967 0.633 1
Te12 Te 0.368 0.750 0.644 1
K5 K 0.000 0.500 0.000 1
Cd5 Cd 0.729 0.750 0.702 1
Cd6 Cd 0.659 0.402 0.744 1
Cd7 Cd 0.341 0.902 0.256 1
Cd8 Cd 0.159 0.902 0.756 1
K6 K 0.500 0.000 0.500 1
Cd9 Cd 0.271 0.250 0.298 1
Cd10 Cd 0.341 0.598 0.256 1
Te13 Te 0.386 0.467 0.867 1
Te14 Te 0.924 0.750 0.865 1
Cd11 Cd 0.841 0.098 0.244 1
Te15 Te 0.886 0.533 0.633 1
K7 K 0.521 0.250 0.035 1
Te16 Te 0.614 0.533 0.133 1
K8 K 0.021 0.750 0.465 1
Cd12 Cd 0.659 0.098 0.744 1

# CsThPtO4 | Alexandria via LeMat-Bulk | GGA-PBE | optimized geometry
# V in Å³/f.u.: 142.7
# Magnetic moment in μB per cell: 0.40
# Fermi-level density of states in states/eV per cell: 14.5
# E in eV/atom: -6.7287
# Formation energy from raw total energies in meV per atom: -1850.6
data_CsThPtO4
_cell_length_a 6.132
_cell_length_b 7.984
_cell_length_c 7.248
_cell_angle_alpha 116.99
_cell_angle_beta 90.00
_cell_angle_gamma 112.58
_symmetry_space_group_name_H-M 'P 1'
_symmetry_Int_Tables_number 1
_symmetry_space_group_name_Hall 'P 1'
loop_
_atom_site_label
_atom_site_type_symbol
_atom_site_fract_x
_atom_site_fract_y
_atom_site_fract_z
_atom_site_occupancy
O1 O 0.297 0.594 0.714 1
O2 O 0.272 0.971 0.235 1
O3 O 0.302 0.029 0.765 1
Pt1 Pt 0.500 0.500 0.500 1
Cs1 Cs 0.826 0.651 0.076 1
O4 O 0.698 0.971 0.235 1
Th1 Th 0.500 0.000 0.500 1
Th2 Th 0.500 0.000 0.000 1
Pt2 Pt 0.000 0.500 0.500 1
O5 O 0.297 0.594 0.380 1
O6 O 0.703 0.406 0.286 1
O7 O 0.703 0.406 0.620 1
O8 O 0.728 0.029 0.765 1
Cs2 Cs 0.174 0.349 0.924 1

# MgFeP2S | Alexandria via LeMat-Bulk | GGA-PBE | optimized geometry
# V in Å³/f.u.: 89.0
# Magnetic moment in μB per cell: 0.00
# Fermi-level density of states in states/eV per cell: 5.9
# E in eV/atom: -4.3442
# Formation energy from raw total energies in meV per atom: 656.7
data_MgFeP2S
_cell_length_a 4.712
_cell_length_b 4.006
_cell_length_c 4.712
_cell_angle_alpha 90.00
_cell_angle_beta 90.00
_cell_angle_gamma 90.00
_symmetry_space_group_name_H-M 'P 1'
_symmetry_Int_Tables_number 1
_symmetry_space_group_name_Hall 'P 1'
loop_
_atom_site_label
_atom_site_type_symbol
_atom_site_fract_x
_atom_site_fract_y
_atom_site_fract_z
_atom_site_occupancy
P1 P 0.500 0.000 0.000 1
Fe1 Fe 0.000 0.500 0.000 1
P2 P 0.000 0.000 0.500 1
Mg1 Mg 0.500 0.500 0.500 1
S1 S 0.000 0.000 0.000 1